No. 1
Material: CrFeSb2
Method: DFT, PBE
State: relaxed

Raw formation energy   0.73 eV per atom
V   78 Å³ per cell
Polymorph energy (0 for the lowest one)   2.120 eV per formula unit

Cell lengths 4.798, 4.798, 4.798 Å; angles 60.00, 60.00, 60.00 degrees
Fractional positions:
Cr 0.000 0.000 0.000
Fe 0.250 0.250 0.250
Sb 0.500 0.500 0.500
Sb 0.750 0.750 0.750

No. 2
Material: CrFe3Sb4
Method: DFT, PBE
State: relaxed

Raw formation energy   0.05 eV per atom
V   144 Å³ per cell

Cell lengths 4.002, 4.002, 10.418 Å; angles 90.00, 90.00, 120.00 degrees
Fractional positions:
Cr 0.000 0.000 0.000
Fe 0.000 0.000 0.260
Fe 0.000 0.000 0.500
Fe 0.000 0.000 0.740
Sb 0.333 0.667 0.378
Sb 0.333 0.667 0.860
Sb 0.667 0.333 0.140
Sb 0.667 0.333 0.622

No. 3
Material: CrFeSb2
Method: DFT, PBE
State: relaxed

Raw formation energy   0.46 eV per atom
V   76 Å³ per cell
Polymorph energy (0 for the lowest one)   1.011 eV per formula unit

Cell lengths 5.537, 5.537, 5.537 Å; angles 137.88, 137.88, 61.09 degrees
Fractional positions:
Cr 0.000 0.000 0.000
Fe 0.250 0.750 0.500
Sb 0.500 0.500 0.000
Sb 0.750 0.250 0.500

No. 4
Material: CrFeSb2
Method: DFT, PBE
State: relaxed

Raw formation energy   0.20 eV per atom
V   72 Å³ per cell
Polymorph energy (0 for the lowest one)   0.000 eV per formula unit

Cell lengths 4.125, 5.182, 5.182 Å; angles 40.22, 90.00, 90.00 degrees
Fractional positions:
Cr 0.000 0.000 0.000
Fe 0.500 0.857 0.857
Sb 0.000 0.286 0.286
Sb 0.500 0.571 0.571

No. 5
Material: Cr2FeSb
Method: DFT, PBE
State: relaxed

Raw formation energy   0.66 eV per atom
V   59 Å³ per cell

Cell lengths 8.229, 8.229, 8.229 Å; angles 20.42, 20.42, 20.42 degrees
Fractional positions:
Cr 0.242 0.242 0.242
Cr 0.758 0.758 0.758
Fe 0.500 0.500 0.500
Sb 0.000 0.000 0.000

No. 6
Material: CrFeSb2
Method: DFT, PBE
State: relaxed

Raw formation energy   0.53 eV per atom
V   168 Å³ per cell
Polymorph energy (0 for the lowest one)   1.292 eV per formula unit

Cell lengths 6.065, 6.065, 6.065 Å; angles 105.06, 105.06, 118.70 degrees
Fractional positions:
Cr 0.000 0.000 0.000
Cr 0.750 0.250 0.500
Fe 0.250 0.750 0.500
Fe 0.500 0.500 0.000
Sb 0.143 0.625 0.018
Sb 0.375 0.393 0.518
Sb 0.607 0.125 0.982
Sb 0.875 0.857 0.482

No. 7
Material: CrFe6Sb
Method: DFT, PBE
State: relaxed

Raw formation energy   0.09 eV per atom
V   402 Å³ per cell

Cell lengths 6.384, 6.384, 10.475 Å; angles 90.00, 90.00, 109.79 degrees
Fractional positions:
Cr 0.000 0.000 0.243
Cr 0.000 0.000 0.757
Cr 0.250 0.750 0.000
Cr 0.750 0.250 0.000
Fe 0.000 0.000 0.000
Fe 0.000 0.000 0.500
Fe 0.114 0.370 0.119
Fe 0.114 0.370 0.881
Fe 0.120 0.364 0.368
Fe 0.120 0.364 0.632
Fe 0.244 0.756 0.242
Fe 0.244 0.756 0.758
Fe 0.364 0.120 0.368
Fe 0.364 0.120 0.632
Fe 0.370 0.114 0.119
Fe 0.370 0.114 0.881
Fe 0.500 0.500 0.000
Fe 0.500 0.500 0.500
Fe 0.630 0.886 0.119
Fe 0.630 0.886 0.881
Fe 0.636 0.880 0.368
Fe 0.636 0.880 0.632
Fe 0.756 0.244 0.242
Fe 0.756 0.244 0.758
Fe 0.880 0.636 0.368
Fe 0.880 0.636 0.632
Fe 0.886 0.630 0.119
Fe 0.886 0.630 0.881
Sb 0.252 0.748 0.500
Sb 0.500 0.500 0.243
Sb 0.500 0.500 0.757
Sb 0.748 0.252 0.500

No. 8
Material: Cr4FeSb
Method: DFT, PBE
State: relaxed

Raw formation energy   0.34 eV per atom
V   80 Å³ per cell

Cell lengths 4.836, 4.836, 4.836 Å; angles 60.00, 60.00, 60.00 degrees
Fractional positions:
Cr 0.124 0.124 0.124
Cr 0.124 0.124 0.629
Cr 0.124 0.629 0.124
Cr 0.629 0.124 0.124
Fe 0.750 0.750 0.750
Sb 0.500 0.500 0.500